(1)
Compound: Tl2CuIrO
Source: Alexandria
Functional: meta-GGA SCAN
Structure: single point on PBEsol structure

Cell lengths 3.663, 5.406, 5.406 Å; angles 90.00, 90.00, 90.00 degrees
Fractional coordinates of all 5 atoms:
Tl 0.000 0.000 0.500
Tl 0.000 0.500 0.000
O 0.500 0.000 0.000
Cu 0.500 0.500 0.500
Ir 0.000 0.000 0.000

space-group type = No. 123
spin magnetization = 0.0 μB per cell
uncorrected formation energy = 1.142 eV per formula unit


(2)
Compound: Y2CuIrO
Source: Alexandria
Functional: meta-GGA SCAN
Structure: single point on PBEsol structure

Cell lengths 4.298, 5.116, 5.116 Å; angles 90.00, 90.00, 90.00 degrees
Fractional coordinates of all 5 atoms:
Y 0.000 0.500 0.000
Y 0.000 0.000 0.500
Ir 0.500 0.000 0.000
Cu 0.000 0.000 0.000
O 0.500 0.500 0.500

space-group type = No. 123
spin magnetization = 0.0 μB per cell
uncorrected formation energy = 0.666 eV per formula unit


(3)
Compound: Zn2CuIrO6
Source: Alexandria
Functional: meta-GGA SCAN
Structure: single point on PBEsol structure

Cell lengths 4.879, 4.942, 8.701 Å; angles 90.00, 89.63, 90.00 degrees
Each line ends with the local moment (μB).
Fractional coordinates of all 20 atoms:
O 0.175 0.808 0.055  0.12
O 0.825 0.192 0.945  0.12
O 0.206 0.795 0.390  0.01
O 0.794 0.205 0.610  0.01
O 0.343 0.128 0.812  0.21
O 0.325 0.308 0.445  0.12
O 0.675 0.692 0.555  0.12
O 0.657 0.872 0.188  0.21
O 0.294 0.295 0.110  0.01
O 0.843 0.372 0.312  0.21
O 0.157 0.628 0.688  0.21
O 0.706 0.705 0.890  0.01
Zn 0.981 0.966 0.763  0.02
Zn 0.019 0.034 0.237  0.02
Zn 0.481 0.534 0.263  0.02
Zn 0.519 0.466 0.737  0.02
Cu 0.500 0.000 0.500  -0.10
Cu 0.000 0.500 0.000  -0.10
Ir 0.000 0.500 0.500  0.98
Ir 0.500 0.000 0.000  0.98

space-group type = No. 14
spin magnetization = 3.5 μB per cell
uncorrected formation energy = -10.342 eV per formula unit


(4)
Compound: Cu2IrOs
Source: Alexandria
Functional: meta-GGA SCAN
Structure: single point on PBEsol structure

Cell lengths 2.618, 4.597, 5.101 Å; angles 116.29, 104.06, 91.74 degrees
Fractional coordinates of all 4 atoms:
Ir 0.500 0.000 0.000
Cu 0.000 0.000 0.500
Cu 0.500 0.500 0.500
Os 0.000 0.500 0.000

DFT total energy = -1.581 Ha/atom
space-group type = No. 12
spin magnetization = 0.0 μB per cell


(5)
Compound: CuIrOs2
Source: Alexandria
Functional: meta-GGA SCAN
Structure: single point on PBEsol structure

Cell lengths 2.801, 4.353, 5.126 Å; angles 115.13, 105.86, 90.00 degrees
Fractional coordinates of all 4 atoms:
Os 0.230 0.230 0.460
Os 0.770 0.770 0.540
Cu 0.500 0.000 0.000
Ir 0.000 0.500 0.000

DFT total energy = -2.096 Ha/atom
space-group type = No. 71
spin magnetization = 0.0 μB per cell


(6)
Compound: Cu2IrOs
Source: Alexandria
Functional: meta-GGA SCAN
Structure: single point on PBEsol structure

Cell lengths 2.616, 3.745, 5.255 Å; angles 90.00, 90.00, 90.00 degrees
Fractional coordinates of all 4 atoms:
Cu 0.000 0.000 0.749
Cu 0.000 0.000 0.251
Os 0.500 0.500 0.500
Ir 0.500 0.500 0.000

DFT total energy = -1.577 Ha/atom
space-group type = No. 47
spin magnetization = 0.0 μB per cell


(7)
Compound: CuIrOs2
Source: Alexandria
Functional: meta-GGA SCAN
Structure: single point on PBEsol structure

Cell lengths 2.687, 4.528, 4.528 Å; angles 90.00, 90.00, 90.00 degrees
Fractional coordinates of all 4 atoms:
Os 0.000 0.000 0.500
Os 0.000 0.500 0.000
Ir 0.500 0.000 0.000
Cu 0.500 0.500 0.500

DFT total energy = -2.091 Ha/atom
space-group type = No. 123
spin magnetization = 0.0 μB per cell


(8)
Compound: CuIrOs2
Source: Alexandria
Functional: meta-GGA SCAN
Structure: single point on PBEsol structure

Cell lengths 4.264, 4.264, 4.264 Å; angles 60.00, 60.00, 60.00 degrees
Each line ends with the local moment (μB).
Fractional coordinates of all 4 atoms:
Ir 0.250 0.250 0.250  -0.39
Os 0.750 0.750 0.750  -0.16
Os 0.000 0.000 0.000  -1.20
Cu 0.500 0.500 0.500  -0.07

DFT total energy = -2.095 Ha/atom
space-group type = No. 216
spin magnetization = 1.9 μB per cell